{"formula": "KMnF4", "functional": "PBE+U", "state": "optimized geometry", "lattice_angstrom": [[2.048, -7.675, 0.000], [2.048, 7.675, 0.000], [0.000, 0.000, 5.986]], "species": ["K", "K", "Mn", "Mn", "F", "F", "F", "F", "F", "F", "F", "F"], "frac_coords": [[0.163, 0.837, 0.500], [0.837, 0.163, 0.000], [0.417, 0.583, 0.466], [0.583, 0.417, 0.966], [0.074, 0.926, 0.938], [0.319, 0.681, 0.288], [0.344, 0.656, 0.724], [0.482, 0.518, 0.147], [0.518, 0.482, 0.647], [0.656, 0.344, 0.224], [0.681, 0.319, 0.788], [0.926, 0.074, 0.438]], "energy_ev_per_atom": -5.309}